1.
Entry from Alexandria via LeMat-Bulk: a relaxed La2YNb crystal (GGA-PBEsol).

Its density is 7.11 g/cm3. The calculation puts the energy of formation at 345 meV/atom.

Unit cell a=7.544 b=7.544 c=7.544 alpha=90.00 beta=90.00 gamma=90.00
Space group Fm-3m (No. 225)
Symmetry-distinct sites (fractional):
La 0.250 0.250 0.250 (multiplicity 8)
Y 0.000 0.000 0.000 (multiplicity 4)
Nb 0.000 0.000 0.500 (multiplicity 4)


2.
Entry from Alexandria via LeMat-Bulk: a relaxed CaCrAu crystal (GGA-PBEsol).

Its density is 6.92 g/cm3. The calculation puts the energy of formation at 393 meV/atom.

Unit cell a=6.523 b=6.523 c=6.523 alpha=90.00 beta=90.00 gamma=90.00
Space group F-43m (No. 216)
Symmetry-distinct sites (fractional):
Ca 0.000 0.000 0.000 (multiplicity 4)
Cr 0.250 0.250 0.750 (multiplicity 4)
Au 0.000 0.000 0.500 (multiplicity 4)


Number 1: DOS at the Fermi energy 0.82 states/eV per atom, uncorrected energy -6.74 eV per atom. Number 2: DOS at the Fermi energy 0.42 states/eV per atom, uncorrected energy -5.04 eV per atom.